! Ag13OsO6 (PBE, relaxed); values from VASP
&SYSTEM
  ibrav = 0, nat = 40, ntyp = 3
/
ATOMIC_SPECIES
Ag 107.87 Ag.upf
Os 190.23 Os.upf
O 16.00 O.upf
CELL_PARAMETERS angstrom
0.000 6.646 6.646
6.646 0.000 6.646
6.646 6.646 0.000
ATOMIC_POSITIONS crystal
Ag 0.000 0.000 0.000
Ag 0.064 0.292 0.708
Ag 0.064 0.708 0.936
Ag 0.064 0.936 0.292
Ag 0.208 0.436 0.792
Ag 0.208 0.564 0.436
Ag 0.208 0.792 0.564
Ag 0.292 0.064 0.936
Ag 0.292 0.708 0.064
Ag 0.292 0.936 0.708
Ag 0.436 0.208 0.564
Ag 0.436 0.564 0.792
Ag 0.436 0.792 0.208
Ag 0.500 0.500 0.500
Ag 0.564 0.208 0.792
Ag 0.564 0.436 0.208
Ag 0.564 0.792 0.436
Ag 0.708 0.064 0.292
Ag 0.708 0.292 0.936
Ag 0.708 0.936 0.064
Ag 0.792 0.208 0.436
Ag 0.792 0.436 0.564
Ag 0.792 0.564 0.208
Ag 0.936 0.064 0.708
Ag 0.936 0.292 0.064
Ag 0.936 0.708 0.292
Os 0.250 0.250 0.250
Os 0.750 0.750 0.750
O 0.106 0.106 0.394
O 0.106 0.394 0.106
O 0.106 0.394 0.394
O 0.394 0.106 0.106
O 0.394 0.106 0.394
O 0.394 0.394 0.106
O 0.606 0.606 0.894
O 0.606 0.894 0.606
O 0.606 0.894 0.894
O 0.894 0.606 0.606
O 0.894 0.606 0.894
O 0.894 0.894 0.606
! E_tot = -165.38 eV per cell
! M_tot = 0.0003 μB per atom